Record 1
CsIn6Te8 after structural relaxation. Source: the Alexandria database, functional PBE.

## Properties
Energy relative to the elements, uncorrected (eV per atom): -0.011
DFT total energy (eV/cell): -42.58
Energy above the lowest structure with this stoichiometry (meV/atom): 316

Unit cell a=10.2859 b=10.2859 c=10.2859 alpha=60.00 beta=60.00 gamma=60.00
Closest atoms and distances in Å follow each position.
Atoms (fractional coordinates):
Te 0.4332 0.8556 0.8556  3 In 3.02
Te 0.8556 0.4332 0.8556  3 In 3.02
Te 0.1444 0.1444 0.1444  3 In 3.02
Te 0.8556 0.8556 0.8556  3 In 3.02
Te 0.5668 0.1444 0.1444  3 In 3.02
Te 0.1444 0.5668 0.1444  3 In 3.02
Te 0.8556 0.8556 0.4332  3 In 3.02
Te 0.1444 0.1444 0.5668  3 In 3.02
In 0.5000 0.5000 0.0000  4 Te 3.02
In 0.0000 0.5000 0.0000  4 Te 3.02
In 0.5000 0.0000 0.5000  4 Te 3.02
In 0.0000 0.0000 0.5000  4 Te 3.02
In 0.5000 0.0000 0.0000  4 Te 3.02
In 0.0000 0.5000 0.5000  4 Te 3.02
Cs 0.0000 0.0000 0.0000  8 Te 3.64

Record 2
CsIn4Te3 after structural relaxation. Source: the Alexandria database, functional PBE.

## Properties
Energy relative to the elements, uncorrected (eV per atom): -0.361
DFT total energy (eV/cell): -24.12

Unit cell a=4.3761 b=6.9781 c=12.4323 alpha=123.20 beta=100.14 gamma=90.00
Closest atoms and distances in Å follow each position.
Atoms (fractional coordinates):
Te 0.3396 0.8019 0.6792  5 In 3.02-3.35
Te 0.5000 0.5000 0.0000  4 In 3.16
Te 0.6604 0.1981 0.3208  5 In 3.02-3.35
In 0.8084 0.4487 0.6168  3 Te 3.02-3.06, 1 In 3.08
In 0.8893 0.2330 0.7787  1 In 3.08, 4 Te 3.16-3.35
In 0.1916 0.5513 0.3832  3 Te 3.02-3.06, 1 In 3.08
In 0.1107 0.7670 0.2213  1 In 3.08, 4 Te 3.16-3.35
Cs 0.0000 0.0000 0.0000  4 In 3.86-4.09, 8 Te 4.01-4.12

Record 3
Cs3In2Te3 after structural relaxation. Source: the Alexandria database, functional PBE.

## Properties
Energy relative to the elements, uncorrected (eV per atom): -0.694
DFT total energy (eV/cell): -46.03

Unit cell a=5.6042 b=7.6283 c=18.5227 alpha=90.00 beta=90.00 gamma=111.55
Closest atoms and distances in Å follow each position.
Atoms (fractional coordinates):
Cs 0.9253 0.8507 0.3942  4 In 3.95-4.34, 7 Te 4.13-4.27
Cs 0.3722 0.7443 0.7500  4 Te 3.71-3.80
Cs 0.0747 0.1493 0.6058  4 In 3.95-4.34, 7 Te 4.13-4.27
Cs 0.0747 0.1493 0.8942  4 In 3.95-4.34, 7 Te 4.13-4.27
Cs 0.6278 0.2557 0.2500  4 Te 3.71-3.80
Cs 0.9253 0.8507 0.1058  4 In 3.95-4.34, 7 Te 4.13-4.27
In 0.2303 0.4606 0.0864  4 Te 3.12-3.23
In 0.7697 0.5394 0.5864  4 Te 3.12-3.23
In 0.7697 0.5394 0.9136  4 Te 3.12-3.23
In 0.2303 0.4606 0.4136  4 Te 3.12-3.23
Te 0.3593 0.7186 0.5501  3 In 3.12-3.15
Te 0.3593 0.7186 0.9499  3 In 3.12-3.15
Te 0.6407 0.2814 0.0501  3 In 3.12-3.15
Te 0.6407 0.2814 0.4499  3 In 3.12-3.15
Te 0.6914 0.3828 0.7500  2 In 3.23
Te 0.3086 0.6172 0.2500  2 In 3.23